Entry from Alexandria: a PBEsol-optimized structure of YTeAs2 (meta-GGA SCAN).

abc: 4.013 4.013 5.961
angles: 90.00 90.00 90.00
Atoms (fractional coordinates):
1 Y 0.000 0.000 0.000
2 Te 0.500 0.500 0.832
3 As 0.000 0.000 0.459
4 As 0.500 0.500 0.352

Calculated values
SG: P4mm
Total magnetization, μB per cell: 0.0
Total energy, eV per atom: -26.987
Density, g cm⁻³: 6.3
E_form (uncorrected), kJ per mole of atoms: -59.6

---

Entry from Alexandria: a PBEsol-optimized structure of Bi3TeS (meta-GGA SCAN).

abc: 5.740 5.740 5.740
angles: 90.00 90.00 90.00
Atoms (fractional coordinates):
1 Bi 0.000 0.000 0.500
2 Bi 0.000 0.500 0.000
3 Bi 0.500 0.000 0.000
4 Te 0.000 0.000 0.000
5 S 0.500 0.500 0.500

Calculated values
SG: Pm-3m
Total magnetization, μB per cell: 1.0
Total energy, eV per atom: -55.411
Density, g cm⁻³: 6.9
E_form (uncorrected), kJ per mole of atoms: 107.3

---

Entry from Alexandria: a PBEsol-optimized structure of NaGaSN2 (meta-GGA SCAN).

abc: 3.971 3.971 4.942
angles: 90.00 90.00 90.00
Atoms (fractional coordinates):
1 Na 0.000 0.000 0.000
2 Ga 0.500 0.500 0.500
3 S 0.500 0.500 0.000
4 N 0.000 0.500 0.500
5 N 0.500 0.000 0.500

Calculated values
SG: P4/mmm
Total magnetization, μB per cell: 4.0
Total energy, eV per atom: -9.118
Density, g cm⁻³: 3.3
E_form (uncorrected), kJ per mole of atoms: 61.4

---

Entry from Alexandria: a PBEsol-optimized structure of Li3CdS (meta-GGA SCAN).

abc: 4.609 4.609 4.609
angles: 90.00 90.00 90.00
Atoms (fractional coordinates):
1 Li 0.000 0.000 0.500
2 Li 0.000 0.500 0.000
3 Li 0.500 0.000 0.000
4 Cd 0.500 0.500 0.500
5 S 0.000 0.000 0.000

Calculated values
SG: Pm-3m
Total magnetization, μB per cell: 0.0
Total energy, eV per atom: -10.151
Density, g cm⁻³: 2.8
E_form (uncorrected), kJ per mole of atoms: -68.4

---

Entry from Alexandria: a PBEsol-optimized structure of CsZrICl2 (meta-GGA SCAN).

abc: 6.537 6.537 5.247
angles: 90.00 90.00 90.00
Atoms (fractional coordinates):
1 Cs 0.000 0.000 0.000
2 Zr 0.500 0.500 0.000
3 I 0.500 0.500 0.500
4 Cl 0.000 0.500 0.500
5 Cl 0.500 0.000 0.500

Calculated values
SG: P4/mmm
Total magnetization, μB per cell: 2.0
Total energy, eV per atom: -24.669
Density, g cm⁻³: 3.1
E_form (uncorrected), kJ per mole of atoms: -41.3

---

Entry from Alexandria: a PBEsol-optimized structure of ZrRe2Rh (meta-GGA SCAN).

abc: 3.340 4.161 4.522
angles: 90.00 90.00 90.00
Atoms (fractional coordinates):
1 Zr 0.000 0.000 0.000
2 Re 0.000 0.500 0.500
3 Re 0.500 0.000 0.500
4 Rh 0.500 0.500 0.000

Calculated values
Offset from the most stable computed form, eV per atom: 0.000
SG: Pmmm
Total magnetization, μB per cell: 0.0
Total energy, eV per atom: -51.864
Density, g cm⁻³: 15.0
Formation energy from the elements, eV per atom: -0.198